No. 1
Rb2InBi4 after structural relaxation. Source: Alexandria via LeMat-Bulk, functional PBE.

POSCAR file:
```
Rb2InBi4
1.0
5.960 0.000 0.000
0.000 5.960 0.000
2.980 2.980 9.258
Bi Rb In
4 2 1
direct
0.152 0.152 0.697
0.848 0.848 0.303
0.000 0.500 0.000
0.500 0.000 0.000
0.359 0.359 0.282
0.641 0.641 0.718
0.000 0.000 0.000
```

Results
As for the magnetic moment: 0.00 μB/f.u. For the formation energy, the calculation gives 4.62 kcal/mol of atoms. The density of states at the Fermi level comes out at 7.015 states/eV per cell.

---

No. 2
RbIn3Bi3 after structural relaxation. Source: Alexandria via LeMat-Bulk, functional PBE.

POSCAR file:
```
RbIn3Bi3
1.0
-3.960 -2.670 2.834
-1.959 -6.560 -8.920
7.593 -3.093 7.696
Rb In Bi
2 6 6
direct
0.250 0.667 0.333
0.750 0.333 0.667
0.250 0.607 0.933
0.250 0.067 0.674
0.250 0.326 0.393
0.750 0.393 0.067
0.750 0.933 0.326
0.750 0.674 0.607
0.250 0.063 0.399
0.250 0.601 0.664
0.250 0.336 0.937
0.750 0.937 0.601
0.750 0.399 0.336
0.750 0.664 0.063
```

Results
As for the magnetic moment: 0.00 μB/f.u. For the formation energy, the calculation gives -1.52 kcal/mol of atoms. The density of states at the Fermi level comes out at 3.757 states/eV per cell.

---

No. 3
RbInBi2 after structural relaxation. Source: Alexandria via LeMat-Bulk, functional PBE.

POSCAR file:
```
RbInBi2
1.0
5.520 0.000 0.000
0.000 4.983 0.000
0.000 0.000 4.983
Bi Rb In
2 1 1
direct
0.000 0.000 0.500
0.000 0.500 0.000
0.500 0.000 0.000
0.500 0.500 0.500
```

Results
As for the magnetic moment: 0.00 μB/f.u. For the formation energy, the calculation gives -1.15 kcal/mol of atoms. The density of states at the Fermi level comes out at 2.689 states/eV per cell.